Record 1
The following is a DFT calculation (GGA-PBEsol) of a relaxed LiTe3 crystal.

Properties
As for the calculated total energy: -3.284 eV/atom. As for the formation energy from raw total energies: -0.15 eV per atom. The polymorph energy (0 for the lowest one) comes out at 236 meV per atom.

abc: 3.9972 3.9972 7.7156
angles: 90.00 90.00 120.00
Space group P-6m2 (No. 187)
Asymmetric unit:
Li1 0.0000 0.0000 0.0000 [1 per cell]
Te1 0.0000 0.0000 0.5000 [1 per cell]
Te2 0.3333 0.6667 0.2227 [2 per cell]

***

Record 2
The following is a DFT calculation (GGA-PBEsol) of a relaxed Li2Te crystal.

Properties
As for the calculated total energy: -3.422 eV/atom. As for the formation energy from raw total energies: -0.94 eV per atom. The polymorph energy (0 for the lowest one) comes out at 90 meV per atom.

abc: 7.936 4.441 8.141
angles: 90.00 102.29 90.00
Space group C2/m (No. 12)
Asymmetric unit:
Li1 0.084 0.000 0.338 [4 per cell]
Li2 0.192 0.500 0.111 [4 per cell]
Te1 0.111 0.500 0.760 [4 per cell]

***

Record 3
The following is a DFT calculation (GGA-PBEsol) of a relaxed Li2Te crystal.

Properties
As for the calculated total energy: -3.314 eV/atom. As for the formation energy from raw total energies: -0.83 eV per atom. The polymorph energy (0 for the lowest one) comes out at 199 meV per atom.

abc: 4.4411 4.4411 4.4711
angles: 90.00 90.00 120.00
Space group P-3m1 (No. 164)
Asymmetric unit:
Li1 0.3333 0.6667 0.2007 [2 per cell]
Te1 0.0000 0.0000 0.0000 [1 per cell]

***

Record 4
The following is a DFT calculation (GGA-PBEsol) of a relaxed Li3Te crystal.

Properties
As for the calculated total energy: -3.072 eV/atom. As for the formation energy from raw total energies: -0.72 eV per atom. The polymorph energy (0 for the lowest one) comes out at 9 meV per atom.

abc: 5.9076 5.9076 14.2710
angles: 90.00 90.00 120.00
Space group P6_3/mmc (No. 194)
Asymmetric unit:
Li1 0.0069 0.5034 0.2500 [6 per cell]
Li2 0.1645 0.3290 0.5835 [12 per cell]
Te1 0.0000 0.0000 0.2500 [2 per cell]
Te2 0.3333 0.6667 0.0846 [4 per cell]